Computed, not measured: Ho10Tm4Zr after structural relaxation at the PBE-GGA level of DFT.

a = 7.6429 Å, b = 8.7211 Å, c = 8.7211 Å
α = 78.93°, β = 64.01°, γ = 64.01°
Last column: nearest neighbours and their distance in Å.
Element x y z (fractional)
Ho: 0.7127 0.7916 0.2085  1 Zr 3.19, 4 Ho 3.24-3.27, 4 Tm 3.37-3.48
Ho: 0.2500 0.5000 0.5000  4 Ho 3.24
Ho: 0.9212 0.7915 0.7916  1 Zr 3.19, 4 Ho 3.24-3.27, 4 Tm 3.37-3.48
Ho: 0.7128 0.2084 0.7915  1 Zr 3.19, 4 Ho 3.24-3.27, 4 Tm 3.37-3.48
Ho: 0.2873 0.2084 0.7915  1 Zr 3.19, 4 Ho 3.24-3.27, 4 Tm 3.37-3.48
Ho: 0.5043 0.2085 0.2084  1 Zr 3.19, 4 Ho 3.24-3.27, 4 Tm 3.37-3.48
Ho: 0.7500 0.5000 0.5000  4 Ho 3.24
Ho: 0.2872 0.7916 0.2085  1 Zr 3.19, 4 Ho 3.24-3.27, 4 Tm 3.37-3.48
Ho: 0.4957 0.7915 0.7916  1 Zr 3.19, 4 Ho 3.24-3.27, 4 Tm 3.37-3.48
Ho: 0.0788 0.2085 0.2084  1 Zr 3.19, 4 Ho 3.24-3.27, 4 Tm 3.37-3.48
Tm: 0.7705 0.0001 0.4588  8 Ho 3.37-3.48, 1 Zr 3.60
Tm: 0.7706 0.4588 0.9999  8 Ho 3.37-3.48, 1 Zr 3.60
Tm: 0.2295 0.9999 0.5412  8 Ho 3.37-3.48, 1 Zr 3.60
Tm: 0.2294 0.5412 0.0001  8 Ho 3.37-3.48, 1 Zr 3.60
Zr: 0.0000 0.0000 0.0000  8 Ho 3.19

Properties
Calculated total energy   -0.1682 hartree per atom
E_form   238 meV/atom
Space group   I4/mmm
Magnetization   0.0 μB per formula unit
Crystal system   tetragonal